1.
The following is a GGA-PBE calculation of a geometry-optimized Sr2MoW structure, from Alexandria.

Summary:
DOS at the Fermi energy = 4.11 states/eV/cell
total moment = 0.00 μB per formula unit
offset from the most stable computed form = 0.00 kcal/mol of atoms
formation energy from the elements = 601 meV/atom

a = 3.4752 Å, b = 3.4752 Å, c = 9.6896 Å
α = 90.00°, β = 90.00°, γ = 90.00°
With the nearest neighbours (Å) after each atom.
Space group P4mm (No. 99)
Inequivalent atoms, fractional coordinates:
Sr 0.0000 0.0000 0.0000 x1  1 W 3.40, 4 Sr 3.48, 4 Mo 3.48
Sr 0.5000 0.5000 0.3939 x1  1 Mo 3.41, 4 Sr 3.48, 4 W 3.49
Mo 0.5000 0.5000 0.7454 x1  4 W 2.63
W 0.0000 0.0000 0.6490 x1  4 Mo 2.63

---

2.
The following is a GGA-PBE calculation of a geometry-optimized Sr2MoW structure, from Alexandria.

Summary:
DOS at the Fermi energy = 11.60 states/eV/cell
total moment = 6.08 μB per formula unit
offset from the most stable computed form = 26.55 kcal/mol of atoms
formation energy from the elements = 1753 meV/atom

a = 7.6281 Å, b = 7.6281 Å, c = 7.6281 Å
α = 90.00°, β = 90.00°, γ = 90.00°
With the nearest neighbours (Å) after each atom.
Space group Fm-3m (No. 225)
Inequivalent atoms, fractional coordinates:
Sr 0.2500 0.2500 0.2500 x8  4 W 3.30, 4 Mo 3.30
Mo 0.0000 0.0000 0.0000 x4  8 Sr 3.30
W 0.0000 0.0000 0.5000 x4  8 Sr 3.30

---

3.
The following is a GGA-PBE calculation of a geometry-optimized Sr3MoW structure, from Alexandria.

Summary:
DOS at the Fermi energy = 2.90 states/eV/cell
total moment = 5.52 μB per formula unit
offset from the most stable computed form = 0.00 kcal/mol of atoms
formation energy from the elements = 1783 meV/atom

a = 5.8149 Å, b = 5.8149 Å, c = 5.8149 Å
α = 90.00°, β = 90.00°, γ = 90.00°
With the nearest neighbours (Å) after each atom.
Space group Pm-3m (No. 221)
Inequivalent atoms, fractional coordinates:
Sr 0.0000 0.0000 0.5000 x3  2 W 2.91
Mo 0.5000 0.5000 0.5000 x1  12 Sr 4.11
W 0.0000 0.0000 0.0000 x1  6 Sr 2.91

---

4.
The following is a GGA-PBE calculation of a geometry-optimized Sr2MoW structure, from Alexandria.

Summary:
DOS at the Fermi energy = 9.64 states/eV/cell
total moment = 0.00 μB per formula unit
offset from the most stable computed form = 4.22 kcal/mol of atoms
formation energy from the elements = 784 meV/atom

a = 8.3635 Å, b = 3.4924 Å, c = 8.8306 Å
α = 90.00°, β = 95.08°, γ = 90.00°
With the nearest neighbours (Å) after each atom.
Space group Cm (No. 8)
Inequivalent atoms, fractional coordinates:
Sr 0.0000 0.0000 0.0000 x2  3 Mo 3.21-3.42, 2 W 3.37, 2 Sr 3.49
Sr 0.2101 0.0000 0.5768 x2  3 W 3.22-3.41, 2 Mo 3.37, 2 Sr 3.49
Mo 0.2504 0.5000 0.2554 x2  3 W 2.51-2.54
W 0.4612 0.0000 0.3209 x2  3 Mo 2.51-2.54